This record from Alexandria via LeMat-Bulk describes a geometry-optimized Li3Mg8Ag2 structure. The functional is PBE-GGA.

Total energy   -0.0709 hartree per atom
Fermi-level density of states   9.12 states/eV/cell
Energy of formation from the pure elements   -0.067 eV per atom
Total magnetic moment   0.000 μB/atom

Lattice parameters (Å, degrees): 11.6523 9.7183 5.2685 90.00 115.15 90.00
Space group C2/m (No. 12)
One atom of each set of equivalent atoms:
Li (0.0000, 0.0000, 0.0000)
Li (0.0000, 0.2600, 0.5000)
Mg (0.0845, 0.5000, 0.3088)
Mg (0.1411, 0.0000, 0.5939)
Mg (0.1730, 0.2267, 0.1651)
Ag (0.1773, 0.5000, 0.8779)